1.
Below is a PBEsol-optimized structure of CdRuN2F, with properties calculated at the SCAN level.

Unit cell a=4.0971 b=4.0971 c=4.1149 alpha=90.00 beta=90.00 gamma=90.00
Closest atoms and distances in Å follow each position.
Sites, in units of the cell vectors:
Cd 0.0000 0.0000 0.0000  4 N 2.05, 2 F 2.06
Ru 0.5000 0.5000 0.5000  4 F 2.90, 8 N 2.90
N 0.0000 0.5000 0.0000  2 Cd 2.05
N 0.5000 0.0000 0.0000  2 Cd 2.05
F 0.0000 0.0000 0.5000  2 Cd 2.06

Calculated values
- SG = P4/mmm

***

2.
Below is a PBEsol-optimized structure of CdSbNF2, with properties calculated at the SCAN level.

Unit cell a=4.3607 b=4.3607 c=4.2178 alpha=90.00 beta=90.00 gamma=90.00
Closest atoms and distances in Å follow each position.
Sites, in units of the cell vectors:
Cd 0.0000 0.0000 0.0000  8 F 3.03, 4 N 3.08
Sb 0.5000 0.5000 0.5000  2 N 2.11, 4 F 2.18
N 0.5000 0.5000 0.0000  2 Sb 2.11
F 0.0000 0.5000 0.5000  2 Sb 2.18
F 0.5000 0.0000 0.5000  2 Sb 2.18

Calculated values
- SG = P4/mmm

***

3.
Below is a PBEsol-optimized structure of CdSiN2F, with properties calculated at the SCAN level.

Unit cell a=3.6296 b=3.6296 c=3.7674 alpha=90.00 beta=90.00 gamma=90.00
Closest atoms and distances in Å follow each position.
Sites, in units of the cell vectors:
Cd 0.0000 0.0000 0.0000  4 F 2.57, 8 N 2.62
Si 0.5000 0.5000 0.5000  4 N 1.81, 2 F 1.88
N 0.0000 0.5000 0.5000  2 Si 1.81
N 0.5000 0.0000 0.5000  2 Si 1.81
F 0.5000 0.5000 0.0000  2 Si 1.88

Calculated values
- SG = P4/mmm

***

4.
Below is a PBEsol-optimized structure of CdSnN2F, with properties calculated at the SCAN level.

Unit cell a=4.0969 b=4.0969 c=4.1037 alpha=90.00 beta=90.00 gamma=90.00
Closest atoms and distances in Å follow each position.
Sites, in units of the cell vectors:
Cd 0.0000 0.0000 0.0000  4 F 2.90, 8 N 2.90
Sn 0.5000 0.5000 0.5000  4 N 2.05, 2 F 2.05
N 0.0000 0.5000 0.5000  2 Sn 2.05
N 0.5000 0.0000 0.5000  2 Sn 2.05
F 0.5000 0.5000 0.0000  2 Sn 2.05

Calculated values
- SG = P4/mmm

***

5.
Below is a PBEsol-optimized structure of TlCdNF2, with properties calculated at the SCAN level.

Unit cell a=4.4808 b=4.4808 c=4.3334 alpha=90.00 beta=90.00 gamma=90.00
Closest atoms and distances in Å follow each position.
Sites, in units of the cell vectors:
Tl 0.0000 0.0000 0.0000  8 F 3.12, 4 N 3.17
Cd 0.5000 0.5000 0.5000  2 N 2.17, 4 F 2.24
N 0.5000 0.5000 0.0000  2 Cd 2.17
F 0.0000 0.5000 0.5000  2 Cd 2.24
F 0.5000 0.0000 0.5000  2 Cd 2.24

Calculated values
- SG = P4/mmm

***

6.
Below is a PBEsol-optimized structure of Y2CdNF, with properties calculated at the SCAN level.

Unit cell a=4.4783 b=4.4783 c=5.3043 alpha=90.00 beta=90.00 gamma=90.00
Closest atoms and distances in Å follow each position.
Sites, in units of the cell vectors:
Y 0.0000 0.5000 0.0000  2 N 2.24
Y 0.5000 0.0000 0.0000  2 N 2.24
Cd 0.0000 0.0000 0.5000  4 F 3.17, 8 Y 3.47
N 0.5000 0.5000 0.0000  4 Y 2.24
F 0.5000 0.5000 0.5000  2 N 2.65

Calculated values
- SG = P4/mmm

***

7.
Below is a PBEsol-optimized structure of YCdN2F, with properties calculated at the SCAN level.

Unit cell a=4.3791 b=4.3791 c=4.1970 alpha=90.00 beta=90.00 gamma=90.00
Closest atoms and distances in Å follow each position.
Sites, in units of the cell vectors:
Y 0.0000 0.0000 0.0000  2 F 2.10, 4 N 2.19
Cd 0.5000 0.5000 0.5000  8 N 3.03, 4 F 3.10
N 0.0000 0.5000 0.0000  2 Y 2.19
N 0.5000 0.0000 0.0000  2 Y 2.19
F 0.0000 0.0000 0.5000  2 Y 2.10

Calculated values
- SG = P4/mmm

***

8.
Below is a PBEsol-optimized structure of ZnCdNF2, with properties calculated at the SCAN level.

Unit cell a=4.2198 b=4.2198 c=4.3523 alpha=90.00 beta=90.00 gamma=90.00
Closest atoms and distances in Å follow each position.
Sites, in units of the cell vectors:
Zn 0.0000 0.0000 0.0000  4 N 2.98, 8 F 3.03
Cd 0.5000 0.5000 0.5000  4 F 2.11, 2 N 2.18
N 0.5000 0.5000 0.0000  2 Cd 2.18
F 0.0000 0.5000 0.5000  2 Cd 2.11
F 0.5000 0.0000 0.5000  2 Cd 2.11

Calculated values
- SG = P4/mmm

***

9.
Below is a PBEsol-optimized structure of ZrCdN2F, with properties calculated at the SCAN level.

Unit cell a=4.1138 b=4.1138 c=3.9760 alpha=90.00 beta=90.00 gamma=90.00
Closest atoms and distances in Å follow each position.
Sites, in units of the cell vectors:
Zr 0.0000 0.0000 0.0000  8 N 2.86, 4 F 2.91
Cd 0.5000 0.5000 0.5000  2 F 1.99, 4 N 2.06
N 0.0000 0.5000 0.5000  2 Cd 2.06
N 0.5000 0.0000 0.5000  2 Cd 2.06
F 0.5000 0.5000 0.0000  2 Cd 1.99

Calculated values
- SG = P4/mmm

***

10.
Below is a PBEsol-optimized structure of ZrCdNF2, with properties calculated at the SCAN level.

Unit cell a=4.0894 b=4.0894 c=4.4422 alpha=90.00 beta=90.00 gamma=90.00
Closest atoms and distances in Å follow each position.
Sites, in units of the cell vectors:
Zr 0.0000 0.0000 0.0000  4 N 2.89, 8 F 3.02
Cd 0.5000 0.5000 0.5000  4 F 2.04, 2 N 2.22
N 0.5000 0.5000 0.0000  2 Cd 2.22
F 0.0000 0.5000 0.5000  2 Cd 2.04
F 0.5000 0.0000 0.5000  2 Cd 2.04

Calculated values
- SG = P4/mmm

***

11.
Below is a PBEsol-optimized structure of RbNb2CdF, with properties calculated at the SCAN level.

Unit cell a=4.4055 b=4.4055 c=5.1593 alpha=90.00 beta=90.00 gamma=90.00
Closest atoms and distances in Å follow each position.
Sites, in units of the cell vectors:
Rb 0.0000 0.0000 0.0000  2 F 2.58
Nb 0.0000 0.5000 0.5000  2 F 2.20
Nb 0.5000 0.0000 0.5000  2 F 2.20
Cd 0.5000 0.5000 0.0000  4 Rb 3.12, 8 Nb 3.39
F 0.0000 0.0000 0.5000  4 Nb 2.20

Calculated values
- SG = P4/mmm

***

12.
Below is a PBEsol-optimized structure of NbTlCd2F, with properties calculated at the SCAN level.

Unit cell a=5.4289 b=5.4289 c=4.3911 alpha=90.00 beta=90.00 gamma=90.00
Closest atoms and distances in Å follow each position.
Sites, in units of the cell vectors:
Nb 0.0000 0.0000 0.0000  8 Cd 3.49, 4 F 3.84
Tl 0.5000 0.5000 0.5000  2 F 2.20
Cd 0.0000 0.5000 0.5000  2 Tl 2.71
Cd 0.5000 0.0000 0.5000  2 Tl 2.71
F 0.5000 0.5000 0.0000  2 Tl 2.20

Calculated values
- SG = P4/mmm

***

Number 1: formation energy (no corrections) 1.57 eV per atom, DFT total energy -15.907 eV/atom. Number 2: formation energy (no corrections) -0.57 eV per atom, DFT total energy -17.384 eV/atom. Number 3: formation energy (no corrections) -0.53 eV per atom, DFT total energy -13.042 eV/atom. Number 4: formation energy (no corrections) 0.15 eV per atom, DFT total energy -17.540 eV/atom. Number 5: formation energy (no corrections) -0.75 eV per atom, DFT total energy -24.575 eV/atom. Number 6: formation energy (no corrections) -0.95 eV per atom, DFT total energy -20.739 eV/atom. Number 7: formation energy (no corrections) -0.38 eV per atom, DFT total energy -16.455 eV/atom. Number 8: formation energy (no corrections) -0.23 eV per atom, DFT total energy -12.294 eV/atom. Number 9: formation energy (no corrections) 0.26 eV per atom, DFT total energy -16.384 eV/atom. Number 10: formation energy (no corrections) -0.70 eV per atom, DFT total energy -16.192 eV/atom. Number 11: formation energy (no corrections) 0.29 eV per atom, DFT total energy -23.900 eV/atom. Number 12: formation energy (no corrections) 0.50 eV per atom, DFT total energy -33.470 eV/atom.